Rb2BaCaCl6 | PBE | optimized geometry Values from VASP.

Properties
The calculation puts the total moment at 0.00 μB/cell. The distance to the lowest polymorph of the same formula comes out at 0.049 eV per atom. The total DFT energy (no corrections) comes out at -39.1 eV per formula unit. As for the density of states at the Fermi level: 0.000 states/eV/atom. As for the formation energy without anion corrections: -2212 meV/atom.

Quantum ESPRESSO input file:
```
&SYSTEM
  ibrav = 0, nat = 10, ntyp = 4
/
ATOMIC_SPECIES
Rb 85.47 Rb.upf
Ba 137.33 Ba.upf
Ca 40.08 Ca.upf
Cl 35.45 Cl.upf
ATOMIC_POSITIONS crystal
Rb 0.250 0.250 0.250
Rb 0.750 0.750 0.750
Ba 0.000 0.000 0.000
Ca 0.500 0.500 0.500
Cl 0.262 0.262 0.738
Cl 0.262 0.738 0.262
Cl 0.262 0.738 0.738
Cl 0.738 0.262 0.262
Cl 0.738 0.262 0.738
Cl 0.738 0.738 0.262
CELL_PARAMETERS angstrom
0.000 5.722 5.722
5.722 0.000 5.722
5.722 5.722 0.000
```

***

Ba2CaS2Cl2 | PBE | optimized geometry Values from VASP.

Properties
The calculation puts the total moment at 0.00 μB/cell. The total DFT energy (no corrections) comes out at -33.1 eV per formula unit. As for the density of states at the Fermi level: 0.000 states/eV/atom. As for the formation energy without anion corrections: -2185 meV/atom.

Quantum ESPRESSO input file:
```
&SYSTEM
  ibrav = 0, nat = 14, ntyp = 4
/
ATOMIC_SPECIES
Ba 137.33 Ba.upf
Ca 40.08 Ca.upf
S 32.06 S.upf
Cl 35.45 Cl.upf
ATOMIC_POSITIONS crystal
Ba 0.000 0.000 0.121
Ba 0.000 0.000 0.879
Ba 0.500 0.500 0.379
Ba 0.500 0.500 0.621
Ca 0.000 0.000 0.500
Ca 0.500 0.500 0.000
S 0.000 0.500 0.000
S 0.000 0.500 0.500
S 0.500 0.000 0.000
S 0.500 0.000 0.500
Cl 0.000 0.000 0.316
Cl 0.000 0.000 0.684
Cl 0.500 0.500 0.184
Cl 0.500 0.500 0.816
CELL_PARAMETERS angstrom
5.338 0.000 0.000
0.000 5.338 0.000
0.000 0.000 15.755
```